No. 1
Here is a geometry-optimized Tm9AlIn2 structure from Alexandria via LeMat-Bulk. Energies are from PBE-GGA.

Calculated values
- ΔH_f (0 K) (eV per atom) = -0.24
- calculated volume (Å³/atom) = 26.787
- total magnetization (Bohr magnetons per cell) = 0.0
- SG = P4/mmm (123)

a b c (Å): 4.750 4.750 14.248
angles (deg): 90.00 90.00 90.00
Positions (direct):
Tm  0.500  0.500  0.000
Tm  0.500  0.500  0.331
Tm  0.500  0.500  0.669
Tm  0.500  0.000  0.161
Tm  0.500  0.000  0.500
Tm  0.500  0.000  0.839
Tm  0.000  0.500  0.161
Tm  0.000  0.500  0.500
Tm  0.000  0.500  0.839
Al  0.000  0.000  0.000
In  0.000  0.000  0.332
In  0.000  0.000  0.668



No. 2
Here is a geometry-optimized Tm4Al2In5 structure from Alexandria via LeMat-Bulk. Energies are from PBE-GGA.

Calculated values
- ΔH_f (0 K) (eV per atom) = -0.39
- calculated volume (Å³/atom) = 24.091
- total magnetization (Bohr magnetons per cell) = 0.0
- SG = P2/m (10)

a b c (Å): 3.421 7.802 9.957
angles (deg): 94.30 90.00 90.00
Positions (direct):
Tm  0.500  0.736  0.561
Tm  0.500  0.173  0.878
Tm  0.500  0.264  0.439
Tm  0.500  0.827  0.122
Al  0.000  0.062  0.629
Al  0.000  0.938  0.371
In  0.000  0.565  0.307
In  0.000  0.180  0.163
In  0.000  0.500  0.000
In  0.000  0.820  0.837
In  0.000  0.435  0.693



No. 3
Here is a geometry-optimized TmAlIn2 structure from Alexandria via LeMat-Bulk. Energies are from PBE-GGA.

Calculated values
- ΔH_f (0 K) (eV per atom) = -0.33
- calculated volume (Å³/atom) = 22.673
- total magnetization (Bohr magnetons per cell) = 0.0
- SG = P4/mmm (123)

a b c (Å): 4.534 4.472 4.472
angles (deg): 90.00 90.00 90.00
Positions (direct):
Tm  0.500  0.500  0.500
Al  0.500  0.000  0.000
In  0.000  0.000  0.500
In  0.000  0.500  0.000



No. 4
Here is a geometry-optimized Tm12AlIn3 structure from Alexandria via LeMat-Bulk. Energies are from PBE-GGA.

Calculated values
- ΔH_f (0 K) (eV per atom) = -0.24
- calculated volume (Å³/atom) = 26.999
- total magnetization (Bohr magnetons per cell) = 0.0
- SG = P4/mmm (123)

a b c (Å): 4.758 4.758 19.080
angles (deg): 90.00 90.00 90.00
Positions (direct):
Tm  0.500  0.500  0.000
Tm  0.500  0.500  0.248
Tm  0.500  0.500  0.500
Tm  0.500  0.500  0.752
Tm  0.500  0.000  0.121
Tm  0.500  0.000  0.374
Tm  0.500  0.000  0.626
Tm  0.500  0.000  0.879
Tm  0.000  0.500  0.121
Tm  0.000  0.500  0.374
Tm  0.000  0.500  0.626
Tm  0.000  0.500  0.879
Al  0.000  0.000  0.000
In  0.000  0.000  0.248
In  0.000  0.000  0.500
In  0.000  0.000  0.752